A plane-wave DFT calculation with PBE-GGA was carried out for SrNdAu2 after structural relaxation.

Spin magnetization, μB per formula unit: 0.0
Calculated volume, Å³/atom: 27.208
Calculated formation energy, meV/atom: -764

Cell: 3.7884 3.7884 7.5832 Å, 90.00 90.00 90.00°
Last column: nearest neighbours and their distance in Å.
Space group P4/mmm (No. 123)
Symmetry-distinct sites (fractional):
Sr1 0.0000 0.0000 0.0000 x1  8 Au 3.42, 4 Sr 3.79, 2 Nd 3.79
Nd1 0.0000 0.0000 0.5000 x1  8 Au 3.15
Au1 0.5000 0.5000 0.2807 x2  4 Nd 3.15, 1 Au 3.33, 4 Sr 3.42